{
  "formula": "TbPr2Y",
  "functional": "PBE-GGA",
  "state": "relaxed",
  "final_energy_ev_per_atom": -5.145,
  "crystal_system": "tetragonal",
  "polymorph_energy_mev_per_atom": 9,
  "delta_e_f_ev_per_atom": 0.018,
  "lattice": [[3.652, 0.000, 0.000], [0.000, 3.652, 0.000], [0.000, 0.000, 10.241]],
  "species": ["Tb", "Pr", "Pr", "Y"],
  "frac_coords": [[0.500, 0.500, 0.000], [0.000, 0.000, 0.249], [0.000, 0.000, 0.751], [0.500, 0.500, 0.500]]
}

{
  "formula": "Tb3Pr7Y",
  "functional": "PBE-GGA",
  "state": "relaxed",
  "final_energy_ev_per_atom": -4.659,
  "crystal_system": "monoclinic",
  "polymorph_energy_mev_per_atom": 13,
  "delta_e_f_ev_per_atom": 0.233,
  "lattice": [[6.520, 0.041, 0.465], [0.463, 7.765, 1.064], [0.027, 0.000, 7.851]],
  "species": ["Pr", "Pr", "Pr", "Pr", "Pr", "Pr", "Pr", "Y", "Tb", "Tb", "Tb"],
  "frac_coords": [[0.739, 0.576, 0.924], [0.786, 0.237, 0.237], [0.000, 0.500, 0.500], [0.214, 0.763, 0.763], [0.261, 0.424, 0.076], [0.739, 0.924, 0.576], [0.261, 0.076, 0.424], [0.500, 0.500, 0.500], [0.500, 0.000, 0.000], [0.000, 0.832, 0.168], [0.000, 0.168, 0.832]]
}

{
  "formula": "TbPrY4",
  "functional": "PBE-GGA",
  "state": "relaxed",
  "final_energy_ev_per_atom": -5.858,
  "crystal_system": "triclinic",
  "polymorph_energy_mev_per_atom": 0,
  "delta_e_f_ev_per_atom": 0.020,
  "lattice": [[-0.114, -1.419, 3.297], [2.063, -4.476, -3.790], [9.138, 0.635, 2.548]],
  "species": ["Y", "Y", "Y", "Y", "Pr", "Tb"],
  "frac_coords": [[0.832, 0.503, 0.333], [0.666, 0.002, 0.166], [0.162, 0.500, 0.671], [0.330, 0.001, 0.837], [0.998, 0.001, 0.502], [0.497, 0.501, 0.002]]
}

{
  "formula": "TbPr4Y4",
  "functional": "PBE-GGA",
  "state": "relaxed",
  "final_energy_ev_per_atom": -5.496,
  "crystal_system": "monoclinic",
  "polymorph_energy_mev_per_atom": 0,
  "delta_e_f_ev_per_atom": 0.016,
  "lattice": [[5.845, 0.670, 2.182], [3.463, 5.113, 1.091], [1.496, -2.304, 11.752]],
  "species": ["Y", "Y", "Y", "Y", "Pr", "Pr", "Pr", "Pr", "Tb"],
  "frac_coords": [[0.392, 0.444, 0.776], [0.608, 0.556, 0.224], [0.280, 0.888, 0.554], [0.720, 0.112, 0.446], [0.056, 0.778, 0.111], [0.944, 0.222, 0.889], [0.167, 0.332, 0.332], [0.833, 0.668, 0.668], [0.500, 0.000, 0.000]]
}

{
  "formula": "Tb12PrY6",
  "functional": "PBE-GGA",
  "state": "relaxed",
  "final_energy_ev_per_atom": -5.064,
  "crystal_system": "trigonal",
  "polymorph_energy_mev_per_atom": 0,
  "delta_e_f_ev_per_atom": 0.154,
  "lattice": [[-4.480, 1.272, -7.199], [-5.746, -5.921, 2.335], [-4.815, 5.956, 3.855]],
  "species": ["Tb", "Tb", "Tb", "Tb", "Tb", "Tb", "Tb", "Tb", "Tb", "Tb", "Tb", "Tb", "Y", "Y", "Y", "Y", "Y", "Y", "Pr"],
  "frac_coords": [[0.435, 0.774, 0.542], [0.458, 0.565, 0.226], [0.645, 0.988, 0.790], [0.355, 0.012, 0.210], [0.542, 0.435, 0.774], [0.774, 0.542, 0.435], [0.565, 0.226, 0.458], [0.226, 0.458, 0.565], [0.210, 0.355, 0.012], [0.988, 0.790, 0.645], [0.790, 0.645, 0.988], [0.012, 0.210, 0.355], [0.311, 0.742, 0.906], [0.742, 0.906, 0.311], [0.094, 0.689, 0.258], [0.258, 0.094, 0.689], [0.689, 0.258, 0.094], [0.906, 0.311, 0.742], [0.000, 0.000, 0.000]]
}

{
  "formula": "Tb2Pr3Y8",
  "functional": "PBE-GGA",
  "state": "relaxed",
  "final_energy_ev_per_atom": -5.658,
  "crystal_system": "monoclinic",
  "polymorph_energy_mev_per_atom": 0,
  "delta_e_f_ev_per_atom": 0.135,
  "lattice": [[5.494, -0.141, -1.385], [-0.563, 6.337, -2.881], [0.134, 1.584, 11.922]],
  "species": ["Pr", "Pr", "Pr", "Y", "Y", "Y", "Y", "Y", "Y", "Y", "Y", "Tb", "Tb"],
  "frac_coords": [[0.500, 0.000, 0.000], [0.000, 0.276, 0.000], [0.000, 0.724, 0.000], [0.154, 0.892, 0.307], [0.689, 0.189, 0.378], [0.576, 0.575, 0.151], [0.154, 0.415, 0.307], [0.846, 0.585, 0.693], [0.311, 0.811, 0.622], [0.846, 0.108, 0.693], [0.424, 0.425, 0.849], [0.723, 0.722, 0.445], [0.277, 0.278, 0.555]]
}

Repeat the third record exactly.
{
  "formula": "TbPrY4",
  "functional": "PBE-GGA",
  "state": "relaxed",
  "final_energy_ev_per_atom": -5.858,
  "crystal_system": "triclinic",
  "polymorph_energy_mev_per_atom": 0,
  "delta_e_f_ev_per_atom": 0.020,
  "lattice": [[-0.114, -1.419, 3.297], [2.063, -4.476, -3.790], [9.138, 0.635, 2.548]],
  "species": ["Y", "Y", "Y", "Y", "Pr", "Tb"],
  "frac_coords": [[0.832, 0.503, 0.333], [0.666, 0.002, 0.166], [0.162, 0.500, 0.671], [0.330, 0.001, 0.837], [0.998, 0.001, 0.502], [0.497, 0.501, 0.002]]
}

Repeat the sixth record exactly.
{
  "formula": "Tb2Pr3Y8",
  "functional": "PBE-GGA",
  "state": "relaxed",
  "final_energy_ev_per_atom": -5.658,
  "crystal_system": "monoclinic",
  "polymorph_energy_mev_per_atom": 0,
  "delta_e_f_ev_per_atom": 0.135,
  "lattice": [[5.494, -0.141, -1.385], [-0.563, 6.337, -2.881], [0.134, 1.584, 11.922]],
  "species": ["Pr", "Pr", "Pr", "Y", "Y", "Y", "Y", "Y", "Y", "Y", "Y", "Tb", "Tb"],
  "frac_coords": [[0.500, 0.000, 0.000], [0.000, 0.276, 0.000], [0.000, 0.724, 0.000], [0.154, 0.892, 0.307], [0.689, 0.189, 0.378], [0.576, 0.575, 0.151], [0.154, 0.415, 0.307], [0.846, 0.585, 0.693], [0.311, 0.811, 0.622], [0.846, 0.108, 0.693], [0.424, 0.425, 0.849], [0.723, 0.722, 0.445], [0.277, 0.278, 0.555]]
}